No. 1
AsSe3 (meta-GGA SCAN, single point on PBEsol structure); symmetry = No. 187; formation energy from raw total energies = 0.346 eV per atom
1.0
3.547 0.000 0.000
-1.773 3.072 0.000
0.000 0.000 7.622
As Se
1 3
Direct
0.000 0.000 0.000
0.000 0.000 0.500
0.333 0.667 0.763
0.333 0.667 0.237


No. 2
CrFePb2 (meta-GGA SCAN, single point on PBEsol structure); symmetry = No. 160; ΔH_f (0 K) = 2.3 eV/f.u.
1.0
-0.423 0.960 -3.583
-1.482 -2.426 -2.420
-6.697 1.869 -0.653
Cr Fe Pb
1 1 2
Direct
0.535 0.535 0.394
0.216 0.216 0.352
0.973 0.973 0.080
0.775 0.775 0.675


no.,calculated volume (Å³ per cell)
1,83.04
2,80.18